{"formula": "YGa3", "functional": "PBEsol", "state": "optimized geometry", "ef_ev_per_fu": -2.4, "sg": "No. 194", "lattice_angstrom": [[6.190, 0.000, 0.000], [-3.095, 5.361, 0.000], [0.000, 0.000, 4.479]], "species": ["Y", "Y", "Ga", "Ga", "Ga", "Ga", "Ga", "Ga"], "fractional_positions": [[0.333, 0.667, 0.250], [0.667, 0.333, 0.750], [0.147, 0.295, 0.750], [0.147, 0.853, 0.750], [0.295, 0.147, 0.250], [0.705, 0.853, 0.750], [0.853, 0.147, 0.250], [0.853, 0.705, 0.250]]}

***

{"formula": "LiMnMo2", "functional": "PBEsol", "state": "optimized geometry", "e_above_lowest_polymorph_mev_per_atom": 116, "ef_ev_per_fu": 1.8, "sg": "No. 216", "lattice_angstrom": [[0.000, 3.013, 3.013], [3.013, 0.000, 3.013], [3.013, 3.013, 0.000]], "species": ["Li", "Mn", "Mo", "Mo"], "fractional_positions": [[0.000, 0.000, 0.000], [0.750, 0.750, 0.750], [0.250, 0.250, 0.250], [0.500, 0.500, 0.500]]}

***

{"formula": "ZrCrTe2", "functional": "PBEsol", "state": "optimized geometry", "e_above_lowest_polymorph_mev_per_atom": 0, "sg": "No. 99", "formation_energy_uncorrected_ev_per_atom": -0.374, "lattice_angstrom": [[3.714, 0.000, 0.000], [0.000, 3.714, 0.000], [0.000, 0.000, 6.631]], "species": ["Zr", "Cr", "Te", "Te"], "fractional_positions": [[0.000, 0.000, 0.000], [0.500, 0.500, 0.265], [0.000, 0.000, 0.423], [0.500, 0.500, 0.832]]}

***

{"formula": "Li5Mg3", "functional": "PBEsol", "state": "optimized geometry", "e_above_lowest_polymorph_mev_per_atom": 65, "ef_ev_per_fu": 0.1, "sg": "No. 140", "lattice_angstrom": [[-5.483, 5.483, 2.731], [5.483, -5.483, 2.731], [5.483, 5.483, -2.731]], "species": ["Li", "Li", "Li", "Li", "Li", "Li", "Li", "Li", "Li", "Li", "Mg", "Mg", "Mg", "Mg", "Mg", "Mg"], "fractional_positions": [[0.071, 0.766, 0.837], [0.234, 0.071, 0.305], [0.250, 0.750, 0.500], [0.266, 0.571, 0.837], [0.429, 0.266, 0.695], [0.571, 0.734, 0.305], [0.734, 0.429, 0.163], [0.750, 0.250, 0.500], [0.766, 0.929, 0.695], [0.929, 0.234, 0.163], [0.177, 0.323, 0.500], [0.250, 0.250, 0.000], [0.323, 0.823, 0.146], [0.677, 0.177, 0.854], [0.750, 0.750, 0.000], [0.823, 0.677, 0.500]]}

***

| no. | spin magnetization (μB per atom) |
| --- | --- |
| 1 | 0.00 |
| 2 | 0.66 |
| 3 | 0.76 |
| 4 | 0.00 |